# 1
First-principles (PBE) data for a relaxed structure of IrPd3Br, as listed in the Alexandria database.

Calculated values
Energy relative to the elements, uncorrected = 1028 meV/atom
Energy relative to the lowest polymorph listed for this composition = 0.000 eV/atom
Magnetic moment = 0.000 μB/cell
Fermi-level density of states = 9.33 states/eV/f.u.

Cell lengths 4.887, 4.887, 4.887 Å; angles 90.00, 90.00, 90.00 degrees
Space group Pm-3m (No. 221)
Asymmetric unit:
1 Ir 0.000 0.000 0.000 (multiplicity 1)
2 Pd 0.000 0.000 0.500 (multiplicity 3)
3 Br 0.500 0.500 0.500 (multiplicity 1)

# 2
First-principles (PBE) data for a relaxed structure of TbErTmIn, as listed in the Alexandria database.

Calculated values
Energy relative to the lowest polymorph listed for this composition = 0.131 eV/atom
Formation energy from the elements = -12.7 kJ/mol of atoms
Magnetic moment = 2.349 μB/cell
Fermi-level density of states = 6.59 states/eV/f.u.

Cell lengths 7.659, 7.659, 7.659 Å; angles 90.00, 90.00, 90.00 degrees
Space group F-43m (No. 216)
Asymmetric unit:
1 Tb 0.000 0.000 0.000 (multiplicity 4)
2 Er 0.000 0.000 0.500 (multiplicity 4)
3 Tm 0.250 0.250 0.250 (multiplicity 4)
4 In 0.250 0.250 0.750 (multiplicity 4)

# 3
First-principles (PBE) data for a relaxed structure of Fe3SnS, as listed in the Alexandria database.

Calculated values
Energy relative to the elements, uncorrected = 1558 meV/atom
Magnetic moment = 9.593 μB/cell
Fermi-level density of states = 14.64 states/eV/f.u.

Cell lengths 4.876, 4.876, 4.876 Å; angles 90.00, 90.00, 90.00 degrees
Space group Pm-3m (No. 221)
Asymmetric unit:
1 Fe 0.000 0.000 0.500 (multiplicity 3)
2 Sn 0.000 0.000 0.000 (multiplicity 1)
3 S 0.500 0.500 0.500 (multiplicity 1)

# 4
First-principles (PBE) data for a relaxed structure of SmHoGeSe, as listed in the Alexandria database.

Calculated values
Energy relative to the elements, uncorrected = -1385 meV/atom
Magnetic moment = 0.000 μB/cell
Fermi-level density of states = 1.18 states/eV/f.u.

Cell lengths 4.1641, 4.1641, 20.5464 Å; angles 90.00, 90.00, 120.00 degrees
Space group R3m (No. 160, hexagonal axes)
Asymmetric unit:
1 Sm 0.0000 0.0000 0.0000 (multiplicity 3)
2 Ho 0.0000 0.0000 0.5078 (multiplicity 3)
3 Ge 0.0000 0.0000 0.2519 (multiplicity 3)
4 Se 0.0000 0.0000 0.7567 (multiplicity 3)

# 5
First-principles (PBE) data for a relaxed structure of Ca2Si2Sb, as listed in the Alexandria database.

Calculated values
Energy relative to the elements, uncorrected = -470 meV/atom
Magnetic moment = 0.000 μB/cell
Fermi-level density of states = 1.42 states/eV/f.u.

Cell lengths 7.419, 7.419, 4.383 Å; angles 90.00, 90.00, 90.00 degrees
Space group P4/mbm (No. 127)
Asymmetric unit:
1 Ca 0.179 0.321 0.000 (multiplicity 4)
2 Si 0.113 0.613 0.500 (multiplicity 4)
3 Sb 0.000 0.000 0.500 (multiplicity 2)

# 6
First-principles (PBE) data for a relaxed structure of PaZnN, as listed in the Alexandria database.

Calculated values
Energy relative to the elements, uncorrected = -592 meV/atom
Energy relative to the lowest polymorph listed for this composition = 0.000 eV/atom
Magnetic moment = 0.002 μB/cell
Fermi-level density of states = 3.19 states/eV/f.u.

Cell lengths 3.7996, 3.7996, 4.8088 Å; angles 90.00, 90.00, 120.00 degrees
Space group P-6m2 (No. 187)
Asymmetric unit:
1 Pa 0.0000 0.0000 0.0000 (multiplicity 1)
2 Zn 0.3333 0.6667 0.5000 (multiplicity 1)
3 N 0.6667 0.3333 0.0000 (multiplicity 1)

# 7
First-principles (PBE) data for a relaxed structure of TbTm3Te4, as listed in the Alexandria database.

Calculated values
Energy relative to the elements, uncorrected = -1197 meV/atom
Energy relative to the lowest polymorph listed for this composition = 0.005 eV/atom
Magnetic moment = 0.000 μB/cell
Fermi-level density of states = 4.57 states/eV/f.u.

Cell lengths 6.103, 6.103, 12.239 Å; angles 90.00, 90.00, 90.00 degrees
Space group I4/mmm (No. 139)
Asymmetric unit:
1 Tb 0.000 0.000 0.000 (multiplicity 2)
2 Tm 0.000 0.000 0.500 (multiplicity 2)
3 Tm 0.000 0.500 0.250 (multiplicity 4)
4 Te 0.000 0.000 0.253 (multiplicity 4)
5 Te 0.000 0.500 0.000 (multiplicity 4)

# 8
First-principles (PBE) data for a relaxed structure of Ba2Sb2As, as listed in the Alexandria database.

Calculated values
Energy relative to the elements, uncorrected = -667 meV/atom
Magnetic moment = 0.000 μB/cell
Fermi-level density of states = 3.02 states/eV/f.u.

Cell lengths 8.196, 8.196, 5.159 Å; angles 90.00, 90.00, 90.00 degrees
Space group P4/mbm (No. 127)
Asymmetric unit:
1 Ba 0.176 0.324 0.000 (multiplicity 4)
2 Sb 0.129 0.629 0.500 (multiplicity 4)
3 As 0.000 0.000 0.500 (multiplicity 2)

# 9
First-principles (PBE) data for a relaxed structure of LiBiRh2N, as listed in the Alexandria database.

Calculated values
Energy relative to the elements, uncorrected = -27 meV/atom
Magnetic moment = 0.420 μB/cell
Fermi-level density of states = 4.29 states/eV/f.u.

Cell lengths 4.137, 4.137, 4.336 Å; angles 90.00, 90.00, 90.00 degrees
Space group P4/mmm (No. 123)
Asymmetric unit:
1 Li 0.000 0.000 0.000 (multiplicity 1)
2 Bi 0.500 0.500 0.000 (multiplicity 1)
3 Rh 0.000 0.500 0.500 (multiplicity 2)
4 N 0.000 0.000 0.500 (multiplicity 1)

# 10
First-principles (PBE) data for a relaxed structure of DyThAl, as listed in the Alexandria database.

Calculated values
Energy relative to the lowest polymorph listed for this composition = 0.131 eV/atom
Formation energy from the elements = -3.0 kJ/mol of atoms
Magnetic moment = 0.000 μB/cell
Fermi-level density of states = 3.53 states/eV/f.u.

Cell lengths 5.1162, 5.1162, 3.6213 Å; angles 90.00, 90.00, 120.00 degrees
Space group P3m1 (No. 156)
Asymmetric unit:
1 Dy 0.0000 0.0000 0.0000 (multiplicity 1)
2 Th 0.3333 0.6667 0.5561 (multiplicity 1)
3 Al 0.6667 0.3333 0.2059 (multiplicity 1)

# 11
First-principles (PBE) data for a relaxed structure of SrCaSc2, as listed in the Alexandria database.

Calculated values
Energy relative to the lowest polymorph listed for this composition = 0.182 eV/atom
Formation energy from the elements = 33.4 kJ/mol of atoms
Magnetic moment = 0.475 μB/cell
Fermi-level density of states = 7.49 states/eV/f.u.

Cell lengths 4.032, 5.684, 5.772 Å; angles 90.00, 90.00, 90.00 degrees
Space group Pmmm (No. 47)
Asymmetric unit:
1 Sr 0.000 0.000 0.000 (multiplicity 1)
2 Ca 0.500 0.500 0.000 (multiplicity 1)
3 Sc 0.000 0.500 0.500 (multiplicity 1)
4 Sc 0.500 0.000 0.500 (multiplicity 1)

# 12
First-principles (PBE) data for a relaxed structure of Ca7Rh2Au2, as listed in the Alexandria database.

Calculated values
Formation energy from the elements = -49.9 kJ/mol of atoms
Magnetic moment = 0.000 μB/cell
Fermi-level density of states = 4.87 states/eV/f.u.

Cell lengths 4.163, 15.083, 9.453 Å; angles 90.00, 90.00, 90.00 degrees
Space group Imm2 (No. 44)
Asymmetric unit:
1 Ca 0.000 0.000 0.000 (multiplicity 2)
2 Ca 0.000 0.122 0.413 (multiplicity 4)
3 Ca 0.000 0.313 0.621 (multiplicity 4)
4 Ca 0.000 0.358 0.247 (multiplicity 4)
5 Rh 0.000 0.234 0.923 (multiplicity 4)
6 Au 0.000 0.000 0.674 (multiplicity 2)
7 Au 0.000 0.500 0.743 (multiplicity 2)

# 13
First-principles (PBE) data for a relaxed structure of Li3Hf2US6, as listed in the Alexandria database.

Calculated values
Energy relative to the elements, uncorrected = -1440 meV/atom
Magnetic moment = 5.802 μB/cell
Fermi-level density of states = 7.38 states/eV/f.u.

Cell lengths 6.355, 11.001, 6.619 Å; angles 90.00, 108.64, 90.00 degrees
Space group C2/m (No. 12)
Asymmetric unit:
1 Li 0.000 0.000 0.000 (multiplicity 2)
2 Li 0.000 0.335 0.000 (multiplicity 4)
3 Hf 0.000 0.166 0.500 (multiplicity 4)
4 U 0.000 0.500 0.500 (multiplicity 2)
5 S 0.236 0.000 0.752 (multiplicity 4)
6 S 0.242 0.174 0.250 (multiplicity 8)

# 14
First-principles (PBE) data for a relaxed structure of Ac2TmZn3Ga4, as listed in the Alexandria database.

Calculated values
Formation energy from the elements = -43.6 kJ/mol of atoms
Magnetic moment = 0.000 μB/cell
Fermi-level density of states = 6.38 states/eV/f.u.

Cell lengths 4.498, 4.498, 11.341 Å; angles 90.00, 90.00, 90.00 degrees
Space group P-4m2 (No. 115)
Asymmetric unit:
1 Ac 0.000 0.500 0.233 (multiplicity 2)
2 Tm 0.000 0.000 0.500 (multiplicity 1)
3 Zn 0.000 0.500 0.878 (multiplicity 2)
4 Zn 0.500 0.500 0.500 (multiplicity 1)
5 Ga 0.000 0.000 0.000 (multiplicity 1)
6 Ga 0.000 0.500 0.653 (multiplicity 2)
7 Ga 0.500 0.500 0.000 (multiplicity 1)

# 15
First-principles (PBE) data for a relaxed structure of PaNi4B4, as listed in the Alexandria database.

Calculated values
Formation energy from the elements = -40.9 kJ/mol of atoms
Magnetic moment = 0.000 μB/cell
Fermi-level density of states = 5.63 states/eV/f.u.

Cell lengths 5.052, 5.052, 7.158 Å; angles 90.00, 90.00, 90.00 degrees
Space group P4_2/nmc (No. 137, origin choice 2)
Asymmetric unit:
1 Pa 0.250 0.750 0.250 (multiplicity 2)
2 Ni 0.003 0.250 0.115 (multiplicity 8)
3 B 0.082 0.250 0.409 (multiplicity 8)

# 16
First-principles (PBE) data for a relaxed structure of CrCdBr2, as listed in the Alexandria database.

Calculated values
Energy relative to the elements, uncorrected = -237 meV/atom
Energy relative to the lowest polymorph listed for this composition = 0.093 eV/atom
Magnetic moment = 3.895 μB/cell
Fermi-level density of states = 1.99 states/eV/f.u.

Cell lengths 4.325, 3.657, 7.767 Å; angles 90.00, 105.87, 90.00 degrees
Space group Pm (No. 6)
Asymmetric unit:
1 Cr 0.000 0.000 0.000 (multiplicity 1)
2 Cd 0.561 0.500 0.121 (multiplicity 1)
3 Br 0.168 0.000 0.333 (multiplicity 1)
4 Br 0.884 0.500 0.760 (multiplicity 1)

# 17
First-principles (PBE) data for a relaxed structure of Mn2ZnBr, as listed in the Alexandria database.

Calculated values
Energy relative to the elements, uncorrected = 245 meV/atom
Energy relative to the lowest polymorph listed for this composition = 0.048 eV/atom
Magnetic moment = 15.046 μB/cell
Fermi-level density of states = 3.33 states/eV/f.u.

Cell lengths 13.170, 3.140, 4.104 Å; angles 90.00, 90.10, 90.00 degrees
Space group Cm (No. 8)
Asymmetric unit:
1 Mn 0.000 0.000 0.000 (multiplicity 2)
2 Mn 0.168 0.500 0.001 (multiplicity 2)
3 Zn 0.047 0.500 0.500 (multiplicity 2)
4 Br 0.324 0.000 0.998 (multiplicity 2)

# 18
First-principles (PBE) data for a relaxed structure of HfPa2Zn16, as listed in the Alexandria database.

Calculated values
Formation energy from the elements = -8.4 kJ/mol of atoms
Magnetic moment = 0.706 μB/cell
Fermi-level density of states = 12.35 states/eV/f.u.

Cell lengths 9.0345, 9.0345, 13.3635 Å; angles 90.00, 90.00, 120.00 degrees
Space group R3m (No. 160, hexagonal axes)
Asymmetric unit:
1 Hf 0.0000 0.0000 0.0000 (multiplicity 3)
2 Pa 0.0000 0.0000 0.4397 (multiplicity 3)
3 Pa 0.0000 0.0000 0.7625 (multiplicity 3)
4 Zn 0.0000 0.0000 0.2113 (multiplicity 3)
5 Zn 0.0005 0.2960 0.0949 (multiplicity 18)
6 Zn 0.0024 0.5012 0.2403 (multiplicity 9)
7 Zn 0.1705 0.3410 0.9286 (multiplicity 9)
8 Zn 0.1759 0.3518 0.2784 (multiplicity 9)

# 19
First-principles (PBE) data for a relaxed structure of Sr4Hg5Pb, as listed in the Alexandria database.

Calculated values
Formation energy from the elements = -45.0 kJ/mol of atoms
Magnetic moment = 0.000 μB/cell
Fermi-level density of states = 5.24 states/eV/f.u.

Cell lengths 4.004, 4.004, 19.331 Å; angles 90.00, 90.00, 90.00 degrees
Space group P4/mmm (No. 123)
Asymmetric unit:
1 Sr 0.000 0.000 0.103 (multiplicity 2)
2 Sr 0.000 0.000 0.310 (multiplicity 2)
3 Hg 0.500 0.500 0.000 (multiplicity 1)
4 Hg 0.500 0.500 0.208 (multiplicity 2)
5 Hg 0.500 0.500 0.407 (multiplicity 2)
6 Pb 0.000 0.000 0.500 (multiplicity 1)

# 20
First-principles (PBE) data for a relaxed structure of ZrAsNF2, as listed in the Alexandria database.

Calculated values
Energy relative to the elements, uncorrected = -1285 meV/atom
Energy relative to the lowest polymorph listed for this composition = 0.000 eV/atom
Magnetic moment = 1.248 μB/cell
Fermi-level density of states = 2.26 states/eV/f.u.

Cell lengths 4.192, 4.192, 4.373 Å; angles 90.00, 90.00, 90.00 degrees
Space group P4/mmm (No. 123)
Asymmetric unit:
1 Zr 0.000 0.000 0.000 (multiplicity 1)
2 As 0.500 0.500 0.500 (multiplicity 1)
3 N 0.000 0.000 0.500 (multiplicity 1)
4 F 0.000 0.500 0.000 (multiplicity 2)